one | Here is V5CrW after structural relaxation from the Alexandria database. Energies are from PBE.

a b c (Å): 3.4269 3.4269 8.6070
angles (deg): 90.00 90.00 90.00
Last column: nearest neighbours and their distance in Å.
Space group P4/mmm (No. 123)
Asymmetric unit:
V 0.0000 0.0000 0.0000 (multiplicity 1)  4 Cr 2.42
V 0.0000 0.5000 0.2587 (multiplicity 4)  4 V 2.42, 2 W 2.69
Cr 0.5000 0.5000 0.0000 (multiplicity 1)  4 V 2.42
W 0.0000 0.0000 0.5000 (multiplicity 1)  8 V 2.69

=====

two | Here is V5CrW after structural relaxation from the Alexandria database. Energies are from PBE.

a b c (Å): 4.1595 4.1595 5.9895
angles (deg): 90.00 90.00 90.00
Last column: nearest neighbours and their distance in Å.
Space group P4/mmm (No. 123)
Asymmetric unit:
V 0.0000 0.0000 0.0000 (multiplicity 1)  8 V 2.55
V 0.0000 0.5000 0.2454 (multiplicity 4)  2 Cr 2.55, 2 V 2.55, 2 W 2.58
Cr 0.5000 0.5000 0.0000 (multiplicity 1)  8 V 2.55
W 0.0000 0.0000 0.5000 (multiplicity 1)  8 V 2.58

=====

Stability ranking, top and bottom: two is the most stable and one is the least stable.

=====

one | Here is V2CrW4 after structural relaxation from the Alexandria database. Energies are from PBE.

a b c (Å): 2.6585 6.7575 6.8342
angles (deg): 117.90 97.18 96.73
Last column: nearest neighbours and their distance in Å.
Space group P-1 (No. 2)
Asymmetric unit:
V 0.0483 0.2875 0.4292 (multiplicity 2)  3 V 2.62-2.66, 1 Cr 2.63, 4 W 2.69-2.72
Cr 0.0000 0.0000 0.0000 (multiplicity 1)  4 W 2.58, 2 V 2.63, 2 Cr 2.66
W 0.2363 0.8597 0.2858 (multiplicity 2)  1 Cr 2.58, 5 W 2.66-2.82, 2 V 2.71-2.72
W 0.3913 0.4244 0.1489 (multiplicity 2)  1 Cr 2.58, 5 W 2.66-2.82, 2 V 2.69-2.70

=====

two | Here is V2CrW4 after structural relaxation from the Alexandria database. Energies are from PBE.

a b c (Å): 6.6110 6.6110 5.2289
angles (deg): 90.00 90.00 90.00
Last column: nearest neighbours and their distance in Å.
Space group I4/mmm (No. 139)
Asymmetric unit:
V 0.0000 0.5000 0.2500 (multiplicity 4)  2 V 2.61, 8 W 2.73
Cr 0.0000 0.0000 0.0000 (multiplicity 2)  12 W 2.87-3.18
W 0.1931 0.1931 0.5000 (multiplicity 8)  4 W 2.55-2.82, 4 V 2.73

=====

Stability ranking, top and bottom: one is the most stable and two is the least stable.

=====

one | Here is V2CrW6 after structural relaxation from the Alexandria database. Energies are from PBE.

a b c (Å): 7.7885 7.9099 4.4384
angles (deg): 90.00 90.00 90.00
Last column: nearest neighbours and their distance in Å.
Space group Pnnm (No. 58)
Asymmetric unit:
V 0.1628 0.2338 0.0000 (multiplicity 4)  8 W 2.60-2.89
Cr 0.0000 0.0000 0.5000 (multiplicity 2)  8 W 2.59-2.67
W 0.0006 0.6720 0.5000 (multiplicity 4)  1 Cr 2.59, 3 V 2.66-2.67, 4 W 2.70-2.72
W 0.1636 0.9054 0.0000 (multiplicity 4)  2 V 2.60-2.77, 2 Cr 2.67, 4 W 2.68-2.87
W 0.1700 0.5666 0.0000 (multiplicity 4)  1 Cr 2.62, 3 V 2.63-2.89, 6 W 2.68-2.87

=====

two | Here is V2CrW6 after structural relaxation from the Alexandria database. Energies are from PBE.

a b c (Å): 12.4097 4.4112 5.4346
angles (deg): 90.00 99.13 90.00
Last column: nearest neighbours and their distance in Å.
Space group C2/m (No. 12)
Asymmetric unit:
V 0.0976 0.0000 0.4668 (multiplicity 4)  1 V 2.50, 1 Cr 2.63, 5 W 2.63-2.71
Cr 0.0000 0.0000 0.0000 (multiplicity 2)  4 W 2.60, 2 V 2.63
W 0.0027 0.5000 0.7485 (multiplicity 4)  2 Cr 2.60, 4 W 2.64-2.74, 2 V 2.71
W 0.1989 0.5000 0.1384 (multiplicity 4)  6 W 2.66-2.96
W 0.2046 0.5000 0.6506 (multiplicity 4)  3 V 2.63-2.68, 5 W 2.64-2.77

=====

Stability ranking, top and bottom: one is the most stable and two is the least stable.

=====

one | Here is V4Cr2W5 after structural relaxation from the Alexandria database. Energies are from PBE.

a b c (Å): 19.0682 2.5424 7.6697
angles (deg): 90.00 109.84 90.00
Last column: nearest neighbours and their distance in Å.
Space group C2/m (No. 12)
Asymmetric unit:
V 0.1286 0.0000 0.4608 (multiplicity 4)  2 W 2.53-2.57, 2 V 2.54, 2 Cr 2.75
V 0.1808 0.0000 0.9264 (multiplicity 4)  4 V 2.54-2.80, 2 Cr 2.70, 1 W 2.77
Cr 0.1097 0.5000 0.1296 (multiplicity 4)  1 W 2.39, 2 Cr 2.54
W 0.0000 0.0000 0.5000 (multiplicity 2)  4 W 2.53-2.54, 2 V 2.57
W 0.0136 0.0000 0.8392 (multiplicity 4)  4 W 2.53-2.69, 4 Cr 2.68-2.75
W 0.2390 0.5000 0.3137 (multiplicity 4)  1 Cr 2.39, 1 V 2.53, 2 W 2.54

=====

two | Here is V4Cr2W5 after structural relaxation from the Alexandria database. Energies are from PBE.

a b c (Å): 2.6505 6.7396 9.1245
angles (deg): 84.68 89.80 82.08
Last column: nearest neighbours and their distance in Å.
Space group P-1 (No. 2)
Asymmetric unit:
V 0.1388 0.0274 0.3675 (multiplicity 2)  4 V 2.53-2.68, 2 Cr 2.63-2.71, 2 W 2.66-2.68
V 0.2058 0.8700 0.9082 (multiplicity 2)  4 W 2.64-2.70, 4 V 2.65-2.68
Cr 0.1427 0.3246 0.5482 (multiplicity 2)  3 Cr 2.46-2.65, 2 W 2.53-2.57, 2 V 2.63-2.71
W 0.0000 0.5000 0.0000 (multiplicity 1)  6 W 2.65-2.77, 2 V 2.68
W 0.3918 0.3917 0.2820 (multiplicity 2)  2 Cr 2.53-2.80, 4 W 2.65-2.77, 2 V 2.68-2.70
W 0.4379 0.2291 0.8163 (multiplicity 2)  1 Cr 2.57, 3 V 2.64-2.68, 4 W 2.65-2.73

=====

Stability ranking, top and bottom: two is the most stable and one is the least stable.

=====

one | Here is YV3Cr after structural relaxation from the Alexandria database. Energies are from PBE.

a b c (Å): 4.4638 4.4638 4.4638
angles (deg): 90.00 90.00 90.00
Last column: nearest neighbours and their distance in Å.
Space group Pm-3m (No. 221)
Asymmetric unit:
Y 0.0000 0.0000 0.0000 (multiplicity 1)  12 V 3.16
V 0.0000 0.5000 0.5000 (multiplicity 3)  2 Cr 2.23
Cr 0.5000 0.5000 0.5000 (multiplicity 1)  6 V 2.23

=====

two | Here is YV3Cr after structural relaxation from the Alexandria database. Energies are from PBE.

a b c (Å): 4.6858 4.6858 4.6858
angles (deg): 90.00 90.00 90.00
Last column: nearest neighbours and their distance in Å.
Space group Pm-3m (No. 221)
Asymmetric unit:
Y 0.0000 0.0000 0.0000 (multiplicity 1)  6 V 2.34
V 0.0000 0.0000 0.5000 (multiplicity 3)  2 Y 2.34
Cr 0.5000 0.5000 0.5000 (multiplicity 1)  12 V 3.31

=====

Stability ranking, top and bottom: one is the most stable and two is the least stable.

=====

one | Here is V3ZnCr after structural relaxation from the Alexandria database. Energies are from PBE.

a b c (Å): 4.3076 4.3076 4.3076
angles (deg): 90.00 90.00 90.00
Last column: nearest neighbours and their distance in Å.
Space group Pm-3m (No. 221)
Asymmetric unit:
V 0.0000 0.0000 0.5000 (multiplicity 3)  2 Cr 2.15
Zn 0.5000 0.5000 0.5000 (multiplicity 1)  12 V 3.05
Cr 0.0000 0.0000 0.0000 (multiplicity 1)  6 V 2.15

=====

two | Here is V3ZnCr after structural relaxation from the Alexandria database. Energies are from PBE.

a b c (Å): 4.4859 4.4859 4.4859
angles (deg): 90.00 90.00 90.00
Last column: nearest neighbours and their distance in Å.
Space group Pm-3m (No. 221)
Asymmetric unit:
V 0.0000 0.0000 0.5000 (multiplicity 3)  2 Zn 2.24
Zn 0.0000 0.0000 0.0000 (multiplicity 1)  6 V 2.24
Cr 0.5000 0.5000 0.5000 (multiplicity 1)  12 V 3.17

=====

Stability ranking, top and bottom: one is the most stable and two is the least stable.